[1]
Computed, not measured: a relaxed Cs2KSe2 crystal at the PBE level of DFT.

Results
Energy above the lowest structure with this stoichiometry ... 0 meV per atom
Calculated density ... 3.7 g/cm³
Formation energy (no corrections) ... -0.863 eV per atom
N(E_F) ... 0.000 states/eV/f.u.
Magnetic moment ... 1.000 μB per formula unit

abc: 8.941 8.941 5.251
angles: 90.00 90.00 90.00
Positions (direct):
Cs 0.152 0.652 0.500
Cs 0.652 0.848 0.500
Cs 0.848 0.348 0.500
Cs 0.348 0.152 0.500
K 0.000 0.000 0.000
K 0.500 0.500 0.000
Se 0.361 0.861 0.000
Se 0.861 0.639 0.000
Se 0.639 0.139 0.000
Se 0.139 0.361 0.000

[2]
Computed, not measured: a relaxed Li3TaN3 crystal at the PBE level of DFT.

Results
Energy above the lowest structure with this stoichiometry ... 211 meV per atom
Calculated density ... 4.6 g/cm³
Formation energy (no corrections) ... -0.497 eV per atom
N(E_F) ... 1.910 states/eV/f.u.
Magnetic moment ... 0.000 μB per formula unit

abc: 6.019 6.019 5.514
angles: 93.15 93.15 117.08
Positions (direct):
Li 0.624 0.624 0.357
Li 0.207 0.793 0.500
Li 0.793 0.207 0.500
Li 0.279 0.721 0.000
Li 0.721 0.279 0.000
Li 0.376 0.376 0.643
Ta 0.803 0.803 0.841
Ta 0.197 0.197 0.159
N 0.886 0.886 0.201
N 0.794 0.496 0.711
N 0.496 0.794 0.711
N 0.206 0.504 0.289
N 0.504 0.206 0.289
N 0.114 0.114 0.799

[3]
Computed, not measured: a relaxed ErAgPdF6 crystal at the PBE level of DFT.

Results
Calculated density ... 5.5 g/cm³
Formation energy (no corrections) ... -2.370 eV per atom
Magnetic moment ... 1.945 μB per formula unit

abc: 5.848 5.848 10.080
angles: 90.00 90.00 120.00
Positions (direct):
Er 0.333 0.667 0.250
Er 0.667 0.333 0.750
Ag 0.000 0.000 0.000
Ag 0.000 0.000 0.500
Pd 0.667 0.333 0.250
Pd 0.333 0.667 0.750
F 0.641 0.646 0.137
F 0.005 0.359 0.137
F 0.359 0.005 0.637
F 0.995 0.641 0.863
F 0.354 0.359 0.363
F 0.005 0.646 0.363
F 0.646 0.005 0.863
F 0.641 0.995 0.363
F 0.995 0.354 0.637
F 0.354 0.995 0.137
F 0.646 0.641 0.637
F 0.359 0.354 0.863

[4]
Computed, not measured: a relaxed Sr2TaW crystal at the PBE level of DFT.

Results
Energy above the lowest structure with this stoichiometry ... 0 meV per atom
Calculated density ... 7.4 g/cm³
N(E_F) ... 4.103 states/eV/f.u.
Magnetic moment ... 0.000 μB per formula unit
Formation enthalpy at 0 K ... 0.554 eV/atom

abc: 3.547 3.545 10.223
angles: 69.68 90.00 90.00
Positions (direct):
Sr 0.000 0.075 0.926
Sr 0.500 0.181 0.318
Ta 0.000 0.425 0.575
W 0.500 0.819 0.681

[5]
Computed, not measured: a relaxed NaCrTe2I crystal at the PBE level of DFT.

Results
Energy above the lowest structure with this stoichiometry ... 0 meV per atom
Calculated density ... 4.6 g/cm³
Formation energy (no corrections) ... -0.188 eV per atom
N(E_F) ... 4.040 states/eV/f.u.
Magnetic moment ... 2.588 μB per formula unit

abc: 5.241 5.241 6.020
angles: 90.00 90.00 90.00
Positions (direct):
I 0.000 0.000 0.500
Cr 0.000 0.000 0.000
Te 0.000 0.500 0.000
Te 0.500 0.000 0.000
Na 0.500 0.500 0.500

[6]
Computed, not measured: a relaxed LaSm2Dy5Y crystal at the PBE level of DFT.

Results
Calculated density ... 7.5 g/cm³
N(E_F) ... 10.549 states/eV/f.u.
Magnetic moment ... 0.000 μB per formula unit
Formation enthalpy at 0 K ... 0.265 eV/atom

abc: 8.815 8.815 9.896
angles: 116.45 116.45 90.00
Positions (direct):
La 0.250 0.250 0.500
La 0.750 0.750 0.500
Sm 0.116 0.384 0.000
Sm 0.616 0.116 0.000
Sm 0.384 0.884 0.000
Sm 0.884 0.616 0.000
Dy 0.926 0.426 0.269
Dy 0.657 0.157 0.731
Dy 0.074 0.574 0.731
Dy 0.157 0.074 0.731
Dy 0.574 0.657 0.731
Dy 0.843 0.926 0.269
Dy 0.426 0.343 0.269
Dy 0.343 0.843 0.269
Dy 0.500 0.500 0.000
Dy 0.000 0.000 0.000
Y 0.250 0.750 0.500
Y 0.750 0.250 0.500

> magnetic moment of number 6 (LaSm2Dy5Y)?

0.000 μB per formula unit

Copy entry 5 word for word.
Computed, not measured: a relaxed NaCrTe2I crystal at the PBE level of DFT.

Results
Energy above the lowest structure with this stoichiometry ... 0 meV per atom
Calculated density ... 4.6 g/cm³
Formation energy (no corrections) ... -0.188 eV per atom
N(E_F) ... 4.040 states/eV/f.u.
Magnetic moment ... 2.588 μB per formula unit

abc: 5.241 5.241 6.020
angles: 90.00 90.00 90.00
Positions (direct):
I 0.000 0.000 0.500
Cr 0.000 0.000 0.000
Te 0.000 0.500 0.000
Te 0.500 0.000 0.000
Na 0.500 0.500 0.500

> Look up the calculated density of the first one.

3.7 g/cm³